1.
Entry from Alexandria via LeMat-Bulk: Cr3ReRh after structural relaxation (GGA-PBE).

Cell: 4.4221 4.4221 4.4221 Å, 90.00 90.00 90.00°
Sites, in units of the cell vectors:
Rh 0.5000 0.5000 0.5000
Re 0.0000 0.0000 0.0000
Cr 0.0000 0.0000 0.5000
Cr 0.0000 0.5000 0.0000
Cr 0.5000 0.0000 0.0000

Properties
* size of the total moment: 0.0 μB per cell
* calculated total energy: -40.31 eV per cell
* Fermi-level density of states: 8.4 states/eV/cell


2.
Entry from Alexandria via LeMat-Bulk: HfCr2B2 after structural relaxation (GGA-PBE).

Cell: 3.8839 3.8839 4.6958 Å, 65.57 65.57 90.00°
Sites, in units of the cell vectors:
B 0.2500 0.7500 0.5000
Cr 0.6579 0.6579 0.6842
B 0.7500 0.2500 0.5000
Hf 0.0000 0.0000 0.0000
Cr 0.3421 0.3421 0.3158

Properties
* size of the total moment: 0.0 μB per cell
* calculated total energy: -43.09 eV per cell
* Fermi-level density of states: 1.8 states/eV/cell


3.
Entry from Alexandria via LeMat-Bulk: BaPrGd2 after structural relaxation (GGA-PBE).

Cell: 3.7536 3.7536 10.9732 Å, 90.00 90.00 90.00°
Site moments in Bohr magnetons follow the coordinates.
Sites, in units of the cell vectors:
Pr 0.5000 0.5000 0.0000  -0.01
Gd 0.0000 0.0000 0.7807  7.21
Gd 0.0000 0.0000 0.2193  7.21
Ba 0.5000 0.5000 0.5000  0.03

Properties
* size of the total moment: 15.1 μB per cell
* calculated total energy: -34.36 eV per cell
* Fermi-level density of states: 7.3 states/eV/cell


4.
Entry from Alexandria via LeMat-Bulk: Y4PdSe3 after structural relaxation (GGA-PBE).

Cell: 4.0330 7.1567 7.1567 Å, 108.90 90.00 90.00°
Sites, in units of the cell vectors:
Se 0.0000 0.5000 0.0000
Se 0.0000 0.0000 0.5000
Y 0.5000 0.7518 0.2482
Se 0.5000 0.5000 0.5000
Y 0.5000 0.2482 0.7518
Pd 0.5000 0.0000 0.0000
Y 0.0000 0.7598 0.7598
Y 0.0000 0.2402 0.2402

Properties
* size of the total moment: 0.0 μB per cell
* calculated total energy: -53.75 eV per cell
* Fermi-level density of states: 3.9 states/eV/cell


5.
Entry from Alexandria via LeMat-Bulk: La2ZrSbIr after structural relaxation (GGA-PBE).

Cell: 5.5912 5.0937 5.5912 Å, 90.00 90.00 90.00°
Sites, in units of the cell vectors:
La 0.5000 0.0000 0.0000
Sb 0.5000 0.5000 0.5000
Zr 0.0000 0.5000 0.0000
Ir 0.0000 0.0000 0.0000
La 0.0000 0.0000 0.5000

Properties
* size of the total moment: 0.0 μB per cell
* calculated total energy: -33.58 eV per cell
* Fermi-level density of states: 5.5 states/eV/cell


6.
Entry from Alexandria via LeMat-Bulk: BPt2Rh after structural relaxation (GGA-PBE).

Cell: 2.8320 2.8320 7.8326 Å, 79.58 79.58 60.00°
Site moments in Bohr magnetons follow the coordinates.
Sites, in units of the cell vectors:
Pt 0.2317 0.2317 0.3050  0.02
Pt 0.7683 0.7683 0.6950  0.02
Rh 0.0000 0.0000 0.0000  0.44
B 0.5000 0.5000 0.5000  -0.01

Properties
* size of the total moment: 0.5 μB per cell
* calculated total energy: -26.10 eV per cell
* Fermi-level density of states: 3.8 states/eV/cell


7.
Entry from Alexandria via LeMat-Bulk: NaSrLi2 after structural relaxation (GGA-PBE).

Cell: 5.1956 6.9650 8.3702 Å, 90.00 90.00 112.08°
Sites, in units of the cell vectors:
Sr 0.5694 0.1372 0.2500
Na 0.1305 0.2619 0.7500
Li 0.7492 0.4986 0.5832
Li 0.2508 0.5014 0.0832
Na 0.8695 0.7381 0.2500
Li 0.2508 0.5014 0.4168
Li 0.7492 0.4986 0.9168
Sr 0.4306 0.8628 0.7500

Properties
* size of the total moment: 0.0 μB per cell
* calculated total energy: -12.70 eV per cell
* Fermi-level density of states: 5.3 states/eV/cell


8.
Entry from Alexandria via LeMat-Bulk: Li3Ac2GePt4 after structural relaxation (GGA-PBE).

Cell: 4.3703 4.3703 10.2910 Å, 90.00 90.00 90.00°
Sites, in units of the cell vectors:
Li 0.0000 0.0000 0.5000
Ac 0.5000 0.0000 0.2359
Li 0.5000 0.0000 0.8799
Pt 0.0000 0.5000 0.3711
Ac 0.0000 0.5000 0.7641
Li 0.0000 0.5000 0.1201
Ge 0.5000 0.5000 0.5000
Pt 0.5000 0.5000 0.0000
Pt 0.0000 0.0000 0.0000
Pt 0.5000 0.0000 0.6289

Properties
* size of the total moment: 0.0 μB per cell
* calculated total energy: -50.88 eV per cell
* Fermi-level density of states: 4.4 states/eV/cell